The following is a DFT calculation (PBE-GGA) of a relaxed CsAcF4 crystal.

Summary:
**Energy relative to the elements, uncorrected**: -3.734 eV/atom
**Density**: 5.588 g/cm³
**Total magnetization**: 0.00 μB per atom
**Density of states at the Fermi level**: 0.000 states/eV per atom

abc: 4.282 4.282 7.067
angles: 90.00 90.00 90.00
Positions (direct):
Cs (0.000, 0.000, 0.000)
Ac (0.500, 0.500, 0.500)
F (0.000, 0.500, 0.305)
F (0.000, 0.500, 0.695)
F (0.500, 0.000, 0.305)
F (0.500, 0.000, 0.695)

***

The following is a DFT calculation (PBE-GGA) of a relaxed Cs2Ac2F7 crystal.

Summary:
**Energy relative to the elements, uncorrected**: -3.460 eV/atom
**Density**: 5.305 g/cm³
**Total magnetization**: 0.00 μB per atom
**Density of states at the Fermi level**: 0.080 states/eV per atom

abc: 9.106 9.106 9.106
angles: 60.00 60.00 60.00
Positions (direct):
Cs (0.000, 0.000, 0.000)
Cs (0.000, 0.000, 0.500)
Cs (0.000, 0.500, 0.000)
Cs (0.500, 0.000, 0.000)
Ac (0.000, 0.500, 0.500)
Ac (0.500, 0.000, 0.500)
Ac (0.500, 0.500, 0.000)
Ac (0.500, 0.500, 0.500)
F (0.125, 0.125, 0.125)
F (0.167, 0.167, 0.583)
F (0.167, 0.583, 0.167)
F (0.167, 0.583, 0.583)
F (0.417, 0.417, 0.833)
F (0.417, 0.833, 0.417)
F (0.417, 0.833, 0.833)
F (0.583, 0.167, 0.167)
F (0.583, 0.167, 0.583)
F (0.583, 0.583, 0.167)
F (0.833, 0.417, 0.417)
F (0.833, 0.417, 0.833)
F (0.833, 0.833, 0.417)
F (0.875, 0.875, 0.875)

***

The following is a DFT calculation (PBE-GGA) of a relaxed Cs2AcF5 crystal.

Summary:
**Energy relative to the elements, uncorrected**: -3.474 eV/atom
**Density**: 5.181 g/cm³
**Total magnetization**: 0.02 μB per atom
**Density of states at the Fermi level**: 0.000 states/eV per atom

abc: 12.284 8.262 7.425
angles: 90.00 90.00 90.00
Positions (direct):
Cs (0.170, 0.002, 0.029)
Cs (0.170, 0.498, 0.029)
Cs (0.330, 0.502, 0.529)
Cs (0.330, 0.998, 0.529)
Cs (0.670, 0.002, 0.471)
Cs (0.670, 0.498, 0.471)
Cs (0.830, 0.502, 0.971)
Cs (0.830, 0.998, 0.971)
Ac (0.002, 0.250, 0.559)
Ac (0.498, 0.750, 0.059)
Ac (0.502, 0.250, 0.941)
Ac (0.998, 0.750, 0.441)
F (0.015, 0.250, 0.882)
F (0.075, 0.530, 0.639)
F (0.075, 0.970, 0.639)
F (0.163, 0.250, 0.368)
F (0.187, 0.750, 0.344)
F (0.313, 0.250, 0.844)
F (0.337, 0.750, 0.868)
F (0.425, 0.030, 0.139)
F (0.425, 0.470, 0.139)
F (0.485, 0.750, 0.382)
F (0.515, 0.250, 0.618)
F (0.575, 0.530, 0.861)
F (0.575, 0.970, 0.861)
F (0.663, 0.250, 0.132)
F (0.687, 0.750, 0.156)
F (0.813, 0.250, 0.656)
F (0.837, 0.750, 0.632)
F (0.925, 0.030, 0.361)
F (0.925, 0.470, 0.361)
F (0.985, 0.750, 0.118)